Record 1
BaTe5 | Alexandria via LeMat-Bulk | PBE | relaxed; formation energy from raw total energies = -0.3515 eV/atom; crystal system = hexagonal; offset from the most stable computed form = 145.8 meV/atom; space group = P-62m; DOS(E_F) = 0.882 states/eV/atom
1.0
-4.380 1.155 5.631
-2.732 -2.249 -6.301
0.555 -4.432 1.341
Te Ba
5 1
direct
0.667 0.333 0.500
0.610 0.000 0.000
0.000 0.610 0.000
0.333 0.667 0.500
0.390 0.390 0.000
0.000 0.000 0.500

Record 2
RhAu3F | Alexandria via LeMat-Bulk | PBE | relaxed; formation energy from raw total energies = 0.6690 eV/atom; crystal system = cubic; offset from the most stable computed form = 0.0 meV/atom; space group = Pm-3m; DOS(E_F) = 0.938 states/eV/atom
1.0
4.503 0.000 0.000
0.000 4.503 0.000
0.000 0.000 4.503
F Au Rh
1 3 1
direct
0.000 0.000 0.000
0.000 0.000 0.500
0.000 0.500 0.000
0.500 0.000 0.000
0.500 0.500 0.500

Record 3
Ca2TbZrP4 | Alexandria via LeMat-Bulk | PBE | relaxed; crystal system = monoclinic; space group = P2/m; DOS(E_F) = 0.505 states/eV/atom; energy relative to the elements = -1229 meV/atom
1.0
3.950 0.000 0.000
0.000 6.879 0.132
0.000 -2.392 6.628
Zr P Ca Tb
1 4 2 1
direct
0.000 0.000 0.000
0.500 0.769 0.773
0.500 0.231 0.227
0.000 0.757 0.232
0.000 0.243 0.768
0.000 0.500 0.500
0.500 0.000 0.500
0.500 0.500 0.000

Record 4
MgSiW2 | Alexandria via LeMat-Bulk | PBE | relaxed; formation energy from raw total energies = 0.3531 eV/atom; crystal system = tetragonal; space group = I4/mmm; DOS(E_F) = 0.390 states/eV/atom
1.0
5.024 -0.002 0.000
2.092 4.568 0.000
-3.558 -2.283 2.715
W Mg Si
2 1 1
direct
0.000 0.000 0.000
0.500 0.500 0.000
0.250 0.750 0.500
0.750 0.250 0.500

Record 5
K2SiTcPt | Alexandria via LeMat-Bulk | PBE | relaxed; formation energy from raw total energies = 1.3809 eV/atom; crystal system = tetragonal; space group = P4/mmm; DOS(E_F) = 1.188 states/eV/atom
1.0
6.424 0.000 0.000
0.000 4.687 0.000
0.000 0.000 6.424
Si Pt Tc K
1 1 1 2
direct
0.500 0.500 0.500
0.000 0.500 0.000
0.000 0.000 0.000
0.500 0.000 0.000
0.000 0.000 0.500

Record 6
CeGdGaPb | Alexandria via LeMat-Bulk | PBE | relaxed; crystal system = cubic; space group = F-43m; DOS(E_F) = 2.287 states/eV/atom; energy relative to the elements = -416 meV/atom
1.0
5.349 0.000 0.000
2.674 4.632 0.000
2.674 1.544 4.367
Ga Gd Ce Pb
1 1 1 1
direct
0.500 0.500 0.500
0.250 0.250 0.250
0.750 0.750 0.750
0.000 0.000 0.000

Record 7
Re2Cl | Alexandria via LeMat-Bulk | PBE | relaxed; formation energy from raw total energies = 0.9910 eV/atom; crystal system = tetragonal; offset from the most stable computed form = 811.6 meV/atom; space group = I4_1/amd; DOS(E_F) = 0.416 states/eV/atom
1.0
6.342 -7.897 6.664
6.559 -4.357 9.219
-8.285 5.508 -6.928
Re Cl
4 2
direct
0.090 0.090 0.000
0.910 0.910 0.000
0.660 0.160 0.500
0.840 0.340 0.500
0.250 0.750 0.500
0.500 0.500 0.000

Record 8
Tc3Pb | Alexandria via LeMat-Bulk | PBE | relaxed; crystal system = tetragonal; offset from the most stable computed form = 207.7 meV/atom; space group = P4/mmm; DOS(E_F) = 1.457 states/eV/atom; energy relative to the elements = 689 meV/atom
1.0
4.572 0.000 0.000
0.000 4.572 0.000
0.000 0.000 3.190
Tc Pb
3 1
direct
0.500 0.000 0.500
0.000 0.500 0.500
0.500 0.500 0.000
0.000 0.000 0.000

Record 9
LiCeGa2Au2 | Alexandria via LeMat-Bulk | PBE | relaxed; crystal system = trigonal; space group = P-3m1; DOS(E_F) = 1.377 states/eV/atom; energy relative to the elements = -591 meV/atom
1.0
-2.442 -3.178 -2.077
1.212 -0.545 4.314
-5.640 3.046 1.969
Ga Au Li Ce
2 2 1 1
direct
0.667 0.333 0.296
0.333 0.667 0.704
0.667 0.333 0.716
0.333 0.667 0.284
0.000 0.000 0.500
0.000 0.000 0.000

Record 10
BaTeBr2 | Alexandria via LeMat-Bulk | PBE | relaxed; formation energy from raw total energies = -1.3398 eV/atom; crystal system = monoclinic; offset from the most stable computed form = 0.0 meV/atom; space group = C2/m
1.0
6.280 0.048 -0.004
4.446 4.435 -0.004
0.500 0.209 5.564
Br Ba Te
2 1 1
direct
0.436 0.436 0.534
0.064 0.064 0.966
0.750 0.750 0.750
0.250 0.250 0.250

Record 11
Co2SiAu | Alexandria via LeMat-Bulk | PBE | relaxed; formation energy from raw total energies = 0.0550 eV/atom; crystal system = orthorhombic; space group = Imm2; DOS(E_F) = 0.966 states/eV/atom
1.0
4.934 -0.009 -0.018
2.327 4.351 0.018
-3.232 -2.838 2.418
Co Au Si
2 1 1
direct
0.718 0.218 0.500
0.995 0.995 0.000
0.273 0.773 0.500
0.514 0.514 0.000

Record 12
LaNd8Ho6 | Alexandria via LeMat-Bulk | PBE | relaxed; crystal system = trigonal; space group = R-3; DOS(E_F) = 1.556 states/eV/atom; energy relative to the elements = 128 meV/atom
1.0
7.926 0.000 4.564
2.649 7.470 4.564
0.215 0.152 8.790
Ho Nd La
6 8 1
direct
0.095 0.534 0.119
0.905 0.466 0.881
0.534 0.252 0.119
0.252 0.095 0.119
0.466 0.748 0.881
0.748 0.905 0.881
0.422 0.422 0.734
0.753 0.114 0.418
0.886 0.284 0.582
0.716 0.753 0.418
0.247 0.886 0.582
0.284 0.247 0.582
0.578 0.578 0.266
0.114 0.716 0.418
0.000 0.000 0.000

| no. | total moment (μB per cell) |
| --- | --- |
| 1 | 0.00 |
| 2 | 0.69 |
| 3 | 0.00 |
| 4 | 0.00 |
| 5 | 4.35 |
| 6 | 8.37 |
| 7 | 0.00 |
| 8 | 1.12 |
| 9 | 0.83 |
| 10 | 0.00 |
| 11 | 2.25 |
| 12 | 0.00 |